Here is Ba2ZnPt after structural relaxation from the Alexandria database. Energies are from PBE-GGA.

* N(E_F): 4.25 states/eV/f.u.
* formation energy: -0.18 eV per atom
* DFT total energy: -2.97 eV/atom
* space group: I-42d, No. 122

abc: 8.6629 8.6629 7.3106
angles: 53.67 53.67 90.00
With the nearest neighbours (Å) after each atom.
Fractional coordinates of all 8 atoms:
Ba1 0.6570 0.1250 0.2500  2 Pt 3.04
Zn1 0.5000 0.5000 0.0000  4 Ba 3.41
Pt1 0.7500 0.2500 0.5000  4 Ba 3.04
Zn2 0.2500 0.7500 0.5000  4 Ba 3.41
Ba2 0.3750 0.3430 0.7500  2 Pt 3.04
Ba3 0.0930 0.6250 0.2500  2 Pt 3.04
Pt2 0.0000 0.0000 0.0000  4 Ba 3.04
Ba4 0.8750 0.9070 0.7500  2 Pt 3.04